Density functional theory data (PBE-GGA) for a relaxed structure of LiMnAl2.

The structure in POSCAR format:
```
LiMnAl2
1.0
4.9398 0.0012 -0.0098
4.1380 2.6979 -0.0098
1.4015 0.4167 4.1248
Al Li Mn
2 1 1
direct
0.7495 0.7495 0.7054
0.9904 0.9904 0.0606
0.5055 0.5055 0.5349
0.2547 0.2547 0.1991
```

Calculated values
Formation enthalpy at 0 K ... -0.4 eV per formula unit
Calculated volume ... 13.7 A^3/atom
Size of the total moment ... 1.7 μB/f.u.
DOS at the Fermi energy ... 0.3020 states/eV per atom